No. 1
Cs2ZrSnBr6: optimized geometry, PBE.

Output
* space-group type: Fm-3m (225)
* uncorrected energy: -36.5 eV/cell

POSCAR file:
```
Cs2ZrSnBr6
1.0
0.000 5.751 5.751
5.751 0.000 5.751
5.751 5.751 0.000
Cs Zr Sn Br
2 1 1 6
Direct
0.250 0.250 0.250
0.750 0.750 0.750
0.000 0.000 0.000
0.500 0.500 0.500
0.239 0.239 0.761
0.239 0.761 0.239
0.239 0.761 0.761
0.761 0.239 0.239
0.761 0.239 0.761
0.761 0.761 0.239
```


No. 2
RbAgTe3W: optimized geometry, PBE.

Output
* space-group type: Cmcm (63)
* uncorrected energy: -53.3 eV/cell

POSCAR file:
```
RbAgTe3W
1.0
2.080 -8.231 0.000
2.080 8.231 0.000
0.000 0.000 10.900
Rb Ag Te W
2 2 6 2
Direct
0.238 0.762 0.750
0.762 0.238 0.250
0.454 0.546 0.250
0.546 0.454 0.750
0.068 0.932 0.250
0.385 0.615 0.025
0.385 0.615 0.475
0.615 0.385 0.525
0.615 0.385 0.975
0.932 0.068 0.750
0.000 0.000 0.000
0.000 0.000 0.500
```


No. 3
AcTaSb: optimized geometry, PBE.

Output
* distance to the lowest polymorph of the same formula: 0.0 meV/atom
* space-group type: F-43m (216)

POSCAR file:
```
AcTaSb
1.0
0.000 3.603 3.603
3.603 0.000 3.603
3.603 3.603 0.000
Ac Ta Sb
1 1 1
Direct
0.000 0.000 0.000
0.500 0.500 0.500
0.250 0.250 0.250
```


No. 4
CsErCoTe3: optimized geometry, PBE.

Output
* distance to the lowest polymorph of the same formula: 2.0 meV/atom
* space-group type: Pnma (62)

POSCAR file:
```
CsErCoTe3
1.0
17.735 0.000 0.000
0.000 4.238 0.000
0.000 0.000 11.430
Cs Er Co Te
4 4 4 12
Direct
0.234 0.250 0.016
0.266 0.750 0.516
0.734 0.250 0.484
0.766 0.750 0.984
0.020 0.250 0.345
0.480 0.750 0.845
0.520 0.250 0.155
0.980 0.750 0.655
0.010 0.750 0.085
0.490 0.250 0.585
0.510 0.750 0.415
0.990 0.250 0.915
0.070 0.750 0.888
0.095 0.250 0.581
0.120 0.750 0.236
0.380 0.250 0.736
0.405 0.750 0.081
0.430 0.250 0.388
0.570 0.750 0.612
0.595 0.250 0.919
0.620 0.750 0.264
0.880 0.250 0.764
0.905 0.750 0.419
0.930 0.250 0.112
```


No. 5
NbInNO: optimized geometry, PBE.

Output
* distance to the lowest polymorph of the same formula: 0.0 meV/atom
* space-group type: Pmc2_1 (26)

POSCAR file:
```
NbInNO
1.0
3.420 0.000 0.000
0.000 6.998 0.000
0.000 0.000 6.132
Nb In N O
2 2 2 2
Direct
0.000 0.165 0.000
0.000 0.835 0.500
0.500 0.358 0.547
0.500 0.642 0.047
0.500 0.304 0.001
0.500 0.696 0.501
0.000 0.023 0.271
0.000 0.977 0.771
```


No. 6
LuMgW: optimized geometry, PBE.

Output
* distance to the lowest polymorph of the same formula: 0.0 meV/atom
* space-group type: F-43m (216)

POSCAR file:
```
LuMgW
1.0
0.000 3.374 3.374
3.374 0.000 3.374
3.374 3.374 0.000
Lu Mg W
1 1 1
Direct
0.000 0.000 0.000
0.500 0.500 0.500
0.250 0.250 0.250
```


No. 7
LiTa2W: optimized geometry, PBE.

Output
* space-group type: F-43m (216)
* uncorrected energy: -36.9 eV/cell

POSCAR file:
```
LiTa2W
1.0
0.000 3.204 3.204
3.204 0.000 3.204
3.204 3.204 0.000
Li Ta W
1 2 1
Direct
0.000 0.000 0.000
0.500 0.500 0.500
0.750 0.750 0.750
0.250 0.250 0.250
```


No. 8
NbAlIn: optimized geometry, PBE.

Output
* distance to the lowest polymorph of the same formula: 149.4 meV/atom
* space-group type: F-43m (216)

POSCAR file:
```
NbAlIn
1.0
0.000 3.224 3.224
3.224 0.000 3.224
3.224 3.224 0.000
Nb Al In
1 1 1
Direct
0.000 0.000 0.000
0.500 0.500 0.500
0.750 0.750 0.750
```


No. 9
Sc3Tc: optimized geometry, PBE.

Output
* ΔE_f: -0.05 eV per atom
* space-group type: P4/mbm (127)

POSCAR file:
```
Sc3Tc
1.0
5.958 0.000 0.000
0.000 5.958 0.000
0.000 0.000 9.048
Sc Tc
12 4
Direct
0.000 0.000 0.250
0.000 0.000 0.750
0.186 0.314 0.000
0.189 0.689 0.500
0.311 0.189 0.500
0.314 0.814 0.000
0.500 0.500 0.250
0.500 0.500 0.750
0.686 0.186 0.000
0.689 0.811 0.500
0.811 0.311 0.500
0.814 0.686 0.000
0.000 0.500 0.251
0.000 0.500 0.749
0.500 0.000 0.251
0.500 0.000 0.749
```


No. 10
NbCoNiGe: optimized geometry, PBE.

Output
* distance to the lowest polymorph of the same formula: 93.3 meV/atom
* space-group type: F-43m (216)

POSCAR file:
```
NbCoNiGe
1.0
0.000 2.994 2.994
2.994 0.000 2.994
2.994 2.994 0.000
Nb Co Ni Ge
1 1 1 1
Direct
0.000 0.000 0.000
0.500 0.500 0.500
0.750 0.750 0.750
0.250 0.250 0.250
```


No. 11
NaSrNiAs: optimized geometry, PBE.

Output
* distance to the lowest polymorph of the same formula: 103.5 meV/atom
* space-group type: F-43m (216)

POSCAR file:
```
NaSrNiAs
1.0
0.000 3.582 3.582
3.582 0.000 3.582
3.582 3.582 0.000
Na Sr Ni As
1 1 1 1
Direct
0.000 0.000 0.000
0.500 0.500 0.500
0.250 0.250 0.250
0.750 0.750 0.750
```


No. 12
RbFeAs: optimized geometry, PBE.

Output
* space-group type: F-43m (216)
* uncorrected energy: -11.7 eV/cell

POSCAR file:
```
RbFeAs
1.0
0.000 3.373 3.373
3.373 0.000 3.373
3.373 3.373 0.000
Rb Fe As
1 1 1
Direct
0.000 0.000 0.000
0.750 0.750 0.750
0.500 0.500 0.500
```